Co2SbRh | PBE | optimized geometry

Cell: 9.4411 9.4411 9.4411 Å, 157.22 157.22 32.44°
With the nearest neighbours (Å) after each atom.
Positions (direct):
Co: 0.0821 0.6250 0.9571  2 Co 2.42, 2 Rh 2.57, 2 Sb 2.68
Co: 0.3750 0.3321 0.4571  2 Co 2.42, 2 Rh 2.57, 2 Sb 2.68
Co: 0.6679 0.1250 0.0429  2 Co 2.42, 2 Rh 2.57, 2 Sb 2.68
Co: 0.8750 0.9179 0.5429  2 Co 2.42, 2 Rh 2.57, 2 Sb 2.68
Sb: 0.2500 0.7500 0.5000  4 Rh 2.64, 4 Co 2.68
Sb: 0.5000 0.5000 0.0000  4 Rh 2.64, 4 Co 2.68
Rh: 0.0000 0.0000 0.0000  4 Co 2.57, 4 Sb 2.64
Rh: 0.7500 0.2500 0.5000  4 Co 2.57, 4 Sb 2.64

Computed properties:
Raw formation energy in eV per atom: 0.35
Space group: I-42d, No. 122
DOS(E_F) in states/eV/f.u.: 4.2
Total moment in μB/atom: 0.741
Calculated total energy in eV per atom: -6.076